# NaSiPtC2

An optimized crystal structure of NaSiPtC2 (PBE, the Alexandria database).

Calculated values
- total energy (eV per atom) = -4.5036
- formation energy without anion corrections (eV per formula unit) = 8.71
- total moment (μB per formula unit) = 0.00

The structure in POSCAR format:
```
NaSiPtC2
1.0
-1.251 0.875 3.401
-0.434 -5.026 1.133
3.497 -0.012 1.289
Na C Pt Si
1 2 1 1
Direct
0.000 0.500 0.000
0.000 0.000 0.500
0.500 0.000 0.000
0.500 0.500 0.500
0.000 0.000 0.000
```

# LiNd2GaTe5

An optimized crystal structure of LiNd2GaTe5 (PBE, the Alexandria database).

Calculated values
- total energy (eV per atom) = -4.4128
- formation energy without anion corrections (eV per formula unit) = -9.53
- total moment (μB per formula unit) = 0.00

The structure in POSCAR format:
```
LiNd2GaTe5
1.0
4.284 0.000 0.000
-2.142 9.701 0.000
0.000 0.000 12.844
Te Nd Li Ga
10 4 2 2
Direct
0.312 0.624 0.344
0.688 0.376 0.844
0.500 0.001 0.782
0.289 0.578 0.667
0.711 0.422 0.167
0.044 0.088 0.074
0.500 0.999 0.282
0.644 0.288 0.497
0.956 0.912 0.574
0.356 0.712 0.997
0.118 0.236 0.681
0.882 0.764 0.181
0.132 0.263 0.304
0.868 0.737 0.804
0.211 0.422 0.018
0.789 0.578 0.518
0.574 0.148 0.957
0.426 0.852 0.457
```

# CePmBi2

An optimized crystal structure of CePmBi2 (PBE, the Alexandria database).

Calculated values
- total energy (eV per atom) = -5.4350
- total moment (μB per formula unit) = 0.81
- energy relative to the elements (eV per atom) = -0.823
- excess energy over the best structure of this formula in the dataset (eV/atom) = 0.047

The structure in POSCAR format:
```
CePmBi2
1.0
-1.628 -4.276 -0.046
3.210 1.193 3.035
-10.757 3.990 9.809
Bi Pm Ce
4 2 2
Direct
0.333 0.667 0.122
0.333 0.667 0.378
0.667 0.333 0.878
0.667 0.333 0.622
0.667 0.333 0.250
0.333 0.667 0.750
0.000 0.000 0.500
0.000 0.000 0.000
```

# UMnCoGe2

An optimized crystal structure of UMnCoGe2 (PBE, the Alexandria database).

Calculated values
- total energy (eV per atom) = -7.6106
- total moment (μB per formula unit) = 1.06
- energy relative to the elements (eV per atom) = -0.251

The structure in POSCAR format:
```
UMnCoGe2
1.0
-2.380 2.947 -1.421
-1.704 0.383 3.649
5.418 1.654 0.115
Ge Co Mn U
2 1 1 1
Direct
0.372 0.372 0.744
0.628 0.628 0.256
0.250 0.750 0.500
0.750 0.250 0.500
0.000 0.000 0.000
```

Q: Look up the total moment of the second one.
A: 0.00 μB per formula unit